## La9Al2In (GGA-PBE)

Data for a relaxed La9Al2In crystal.

Unit cell a=5.001 b=5.001 c=14.999 alpha=90.00 beta=90.00 gamma=90.00
Fractional coordinates of all 12 atoms:
La 0.500 0.500 0.336
La 0.500 0.000 0.828
La 0.500 0.000 0.500
La 0.000 0.500 0.172
La 0.500 0.500 0.000
La 0.500 0.500 0.664
La 0.000 0.500 0.828
La 0.500 0.000 0.172
La 0.000 0.500 0.500
In 0.000 0.000 0.000
Al 0.000 0.000 0.665
Al 0.000 0.000 0.335

D(E_F): 16.460 states/eV per cell
Formation energy: -0.23 eV per atom

## BaSbTe (GGA-PBE)

Data for a relaxed BaSbTe crystal.

Unit cell a=6.210 b=4.373 c=12.771 alpha=90.00 beta=90.00 gamma=135.24
Fractional coordinates of all 6 atoms:
Sb 0.232 0.464 0.500
Sb 0.466 0.931 0.000
Ba 0.739 0.477 0.669
Ba 0.739 0.477 0.331
Te 0.246 0.491 0.193
Te 0.246 0.491 0.807

D(E_F): 4.294 states/eV per cell
Energy above the lowest structure with this stoichiometry: 67 meV per atom

## TlCuTeS2 (GGA-PBE)

Data for a relaxed TlCuTeS2 crystal.

Unit cell a=5.172 b=4.949 c=5.172 alpha=90.00 beta=90.00 gamma=90.00
Fractional coordinates of all 5 atoms:
Te 0.500 0.500 0.500
S 0.000 0.000 0.500
S 0.500 0.000 0.000
Cu 0.000 0.500 0.000
Tl 0.000 0.000 0.000

D(E_F): 6.111 states/eV per cell
Energy above the lowest structure with this stoichiometry: 1010 meV per atom

## CaIrSeF (GGA-PBE)

Data for a relaxed CaIrSeF crystal.

Unit cell a=6.323 b=4.030 c=6.677 alpha=90.00 beta=111.36 gamma=90.00
Fractional coordinates of all 8 atoms:
Ca 0.905 0.500 0.787
Ca 0.905 0.000 0.287
F 0.856 0.500 0.109
F 0.856 0.000 0.609
Se 0.441 0.500 0.301
Se 0.441 0.000 0.801
Ir 0.328 0.000 0.103
Ir 0.328 0.500 0.603

D(E_F): 4.313 states/eV per cell
Energy above the lowest structure with this stoichiometry: 1 meV per atom

## Er2ScCd3 (GGA-PBE)

Data for a relaxed Er2ScCd3 crystal.

Unit cell a=5.165 b=5.165 c=6.348 alpha=90.00 beta=90.00 gamma=120.00
Fractional coordinates of all 6 atoms:
Cd 0.000 0.000 0.500
Cd 0.667 0.333 0.835
Cd 0.333 0.667 0.165
Er 0.333 0.667 0.674
Er 0.667 0.333 0.326
Sc 0.000 0.000 0.000

D(E_F): 5.706 states/eV per cell
Formation energy: -0.30 eV per atom
Energy above the lowest structure with this stoichiometry: 4 meV per atom

## DyTh2Ni (GGA-PBE)

Data for a relaxed DyTh2Ni crystal.

Unit cell a=6.175 b=7.003 c=9.955 alpha=90.00 beta=90.00 gamma=90.00
Fractional coordinates of all 16 atoms:
Dy 0.659 0.547 0.250
Dy 0.341 0.453 0.750
Dy 0.841 0.047 0.250
Dy 0.159 0.953 0.750
Th 0.846 0.316 0.564
Th 0.346 0.184 0.064
Th 0.346 0.184 0.436
Th 0.154 0.684 0.064
Th 0.846 0.316 0.936
Th 0.154 0.684 0.436
Th 0.654 0.816 0.564
Th 0.654 0.816 0.936
Ni 0.396 0.893 0.250
Ni 0.896 0.607 0.750
Ni 0.604 0.107 0.750
Ni 0.104 0.393 0.250

D(E_F): 20.818 states/eV per cell
Formation energy: -0.20 eV per atom
Energy above the lowest structure with this stoichiometry: 20 meV per atom

## KLiTl6 (GGA-PBE)

Data for a relaxed KLiTl6 crystal.

Unit cell a=5.218 b=5.218 c=9.527 alpha=90.00 beta=90.00 gamma=90.00
Fractional coordinates of all 8 atoms:
Tl 0.500 0.500 0.843
Tl 0.500 0.500 0.157
Tl 0.500 0.000 0.336
Tl 0.000 0.500 0.336
Tl 0.000 0.500 0.664
Tl 0.500 0.000 0.664
K 0.000 0.000 0.000
Li 0.000 0.000 0.500

D(E_F): 2.615 states/eV per cell
Formation energy: -0.02 eV per atom
Energy above the lowest structure with this stoichiometry: 29 meV per atom

## YAsRu2 (GGA-PBE)

Data for a relaxed YAsRu2 crystal.

Unit cell a=3.041 b=4.010 c=5.755 alpha=90.00 beta=90.00 gamma=90.00
Fractional coordinates of all 4 atoms:
Y 0.000 0.000 0.492
Ru 0.000 0.000 0.003
Ru 0.500 0.500 0.209
As 0.500 0.500 0.796

D(E_F): 3.972 states/eV per cell
Formation energy: -0.13 eV per atom

- Look up the D(E_F) of the fourth one.
  4.313 states/eV per cell

- Which of these has the lowest D(E_F)?
  KLiTl6

- The highest D(E_F) belongs to which entry?
  DyTh2Ni

Please write out number 7 again, unchanged.
## KLiTl6 (GGA-PBE)

Data for a relaxed KLiTl6 crystal.

Unit cell a=5.218 b=5.218 c=9.527 alpha=90.00 beta=90.00 gamma=90.00
Fractional coordinates of all 8 atoms:
Tl 0.500 0.500 0.843
Tl 0.500 0.500 0.157
Tl 0.500 0.000 0.336
Tl 0.000 0.500 0.336
Tl 0.000 0.500 0.664
Tl 0.500 0.000 0.664
K 0.000 0.000 0.000
Li 0.000 0.000 0.500

D(E_F): 2.615 states/eV per cell
Formation energy: -0.02 eV per atom
Energy above the lowest structure with this stoichiometry: 29 meV per atom